Crystalline LiMgH6Ir at its relaxed geometry. Source: the Alexandria database, functional PBE.

Lattice parameters (Å, degrees): 6.6184 6.6184 6.6184 90.00 90.00 90.00
With the nearest neighbours (Å) after each atom.
Positions (direct):
Li 0.0000 0.0000 0.0000  12 H 2.34
Li 0.0000 0.0000 0.5000  12 H 2.32-2.34
Li 0.0000 0.5000 0.0000  12 H 2.32-2.34
Li 0.5000 0.0000 0.0000  12 H 2.32-2.34
Mg 0.0000 0.5000 0.5000  12 H 2.34
Mg 0.5000 0.0000 0.5000  12 H 2.34
Mg 0.5000 0.5000 0.0000  12 H 2.34
Mg 0.5000 0.5000 0.5000  12 H 2.36
H 0.0053 0.2497 0.2497  1 Ir 1.66
H 0.0053 0.7503 0.7503  1 Ir 1.66
H 0.2477 0.2477 0.5084  1 Ir 1.67
H 0.2477 0.4916 0.7523  1 Ir 1.67
H 0.2477 0.5084 0.2477  1 Ir 1.67
H 0.2477 0.7523 0.4916  1 Ir 1.67
H 0.2497 0.0053 0.2497  1 Ir 1.66
H 0.2497 0.2497 0.0053  1 Ir 1.66
H 0.2497 0.7503 0.9947  1 Ir 1.66
H 0.2497 0.9947 0.7503  1 Ir 1.66
H 0.4916 0.2477 0.7523  1 Ir 1.67
H 0.4916 0.7523 0.2477  1 Ir 1.67
H 0.5084 0.2477 0.2477  1 Ir 1.67
H 0.5084 0.7523 0.7523  1 Ir 1.67
H 0.7503 0.0053 0.7503  1 Ir 1.66
H 0.7503 0.2497 0.9947  1 Ir 1.66
H 0.7503 0.7503 0.0053  1 Ir 1.66
H 0.7503 0.9947 0.2497  1 Ir 1.66
H 0.7523 0.2477 0.4916  1 Ir 1.67
H 0.7523 0.4916 0.2477  1 Ir 1.67
H 0.7523 0.5084 0.7523  1 Ir 1.67
H 0.7523 0.7523 0.5084  1 Ir 1.67
H 0.9947 0.2497 0.7503  1 Ir 1.66
H 0.9947 0.7503 0.2497  1 Ir 1.66
Ir 0.2566 0.2566 0.2566  6 H 1.66-1.67
Ir 0.2566 0.7434 0.7434  6 H 1.66-1.67
Ir 0.7434 0.2566 0.7434  6 H 1.66-1.67
Ir 0.7434 0.7434 0.2566  6 H 1.66-1.67

=====

Crystalline Li2MgH8Ir at its relaxed geometry. Source: the Alexandria database, functional PBE.

Lattice parameters (Å, degrees): 4.5911 4.5911 5.3778 90.00 90.00 120.00
With the nearest neighbours (Å) after each atom.
Positions (direct):
Li 0.3333 0.6667 0.3722  4 H 1.93-2.10
Li 0.6667 0.3333 0.6278  4 H 1.93-2.10
Mg 0.0000 0.0000 0.0000  6 H 2.19
H 0.1715 0.3429 0.6806  1 Ir 1.67
H 0.1715 0.8285 0.6806  1 Ir 1.67
H 0.3333 0.6667 0.0135  1 Li 1.93
H 0.3429 0.1715 0.3194  1 Ir 1.67
H 0.6571 0.8285 0.6806  1 Ir 1.67
H 0.6667 0.3333 0.9865  1 Li 1.93
H 0.8285 0.1715 0.3194  1 Ir 1.67
H 0.8285 0.6571 0.3194  1 Ir 1.67
Ir 0.0000 0.0000 0.5000  6 H 1.67

=====

no.,density of states at the Fermi level (states/eV per cell),calculated total energy (eV/atom)
1,0.0,-4.0321
2,1.3,-3.5689